# Cs2Pu3Cl8

Cs2Pu3Cl8 after structural relaxation (GGA-PBE, Alexandria).

Values from the calculation:
Spin magnetization   18.0 μB/f.u.
Formation energy from raw total energies   -177.5 kJ per mole of atoms

abc: 16.912 8.433 7.209
angles: 90.00 107.20 90.00
Space group C2/m (No. 12)
Unique sites:
Cs (0.232, 0.000, 0.176) [4 per cell]
Pu (0.000, 0.251, 0.500) [4 per cell]
Pu (0.000, 0.500, 0.000) [2 per cell]
Cl (0.096, 0.500, 0.397) [4 per cell]
Cl (0.101, 0.274, 0.891) [8 per cell]
Cl (0.105, 0.000, 0.467) [4 per cell]